BaMo2F2 | GGA+U | optimized geometry

Cell lengths 9.273, 9.273, 3.257 Å; angles 90.00, 90.00, 90.00 degrees
Each line ends with the local moment (μB).
Fractional positions:
1 Mo 0.614 0.114 0.000  3.33
2 Mo 0.886 0.614 0.000  3.33
3 Mo 0.114 0.386 0.000  3.33
4 Mo 0.386 0.886 0.000  3.33
5 F 0.225 0.275 0.500  0.02
6 F 0.725 0.225 0.500  0.02
7 F 0.275 0.775 0.500  0.02
8 F 0.775 0.725 0.500  0.02
9 Ba 0.500 0.500 0.000  -0.45
10 Ba 0.000 0.000 0.000  -0.45

Properties
Total magnetization (μB/cell): 12.8
Energy above the lowest structure with this stoichiometry (meV/atom): 117
Space-group type: P4/mbm, No. 127